This record from Alexandria via LeMat-Bulk describes Tb5Dy2Er after structural relaxation. The functional is PBE.

Cell: 5.002 7.089 14.178 Å, 90.00 90.00 90.00°
Atoms (fractional coordinates):
Dy 0.500 0.750 0.375
Dy 0.500 0.250 0.625
Dy 0.500 0.750 0.875
Dy 0.500 0.250 0.125
Tb 0.500 0.250 0.375
Tb 0.000 0.500 0.500
Tb 0.000 0.000 0.000
Tb 0.000 0.500 0.750
Tb 0.500 0.750 0.125
Tb 0.500 0.750 0.625
Tb 0.500 0.250 0.875
Tb 0.000 0.000 0.750
Tb 0.000 0.000 0.250
Tb 0.000 0.500 0.250
Er 0.000 0.500 0.000
Er 0.000 0.000 0.500

Properties
space group: Pbam (55)
energy: -73.60 eV per cell
Fermi-level density of states: 1.160 states/eV/atom
energy relative to the elements: 0.014 eV/atom